## LaSi2Ru (PBE)

Data for a relaxed structure of LaSi2Ru.

Properties
Raw total energy in eV per atom: -6.307
Space-group type: No. 47
Formation energy without anion corrections in eV per atom: -0.045
Spin magnetization in μB/atom: 0.000

Cell lengths 4.071, 4.087, 4.497 Å; angles 90.00, 90.00, 90.00 degrees
Fractional coordinates of all 4 atoms:
La 0.500 0.000 0.500
Si 0.500 0.500 0.000
Si 0.000 0.000 0.000
Ru 0.000 0.500 0.500

=====

## PmSm3Co (PBE)

Data for a relaxed structure of PmSm3Co.

Properties
Raw total energy in eV per atom: -5.147
Space-group type: No. 221
Spin magnetization in μB/atom: 0.255
Relative energy among the computed polymorphs in meV/atom: 124.3
Formation energy from the elements in eV/atom: 0.056

Cell lengths 5.401, 5.401, 5.401 Å; angles 90.00, 90.00, 90.00 degrees
Last column: magnetic moment on the atom in μB.
Fractional coordinates of all 5 atoms:
Sm 0.500 0.000 0.000  0.08
Sm 0.000 0.500 0.000  0.08
Sm 0.000 0.000 0.500  0.08
Pm 0.500 0.500 0.500  0.29
Co 0.000 0.000 0.000  0.15

=====

## LiGaFeRe (PBE)

Data for a relaxed structure of LiGaFeRe.

Properties
Raw total energy in eV per atom: -6.456
Space-group type: No. 99
Spin magnetization in μB/atom: 0.000
Relative energy among the computed polymorphs in meV/atom: 0.0
Formation energy from the elements in eV/atom: 0.007

Cell lengths 2.857, 2.857, 6.229 Å; angles 90.00, 90.00, 90.00 degrees
Fractional coordinates of all 4 atoms:
Li 0.500 0.500 0.767
Fe 0.000 0.000 0.542
Ga 0.000 0.000 0.007
Re 0.500 0.500 0.311

=====

## PmGeRu (PBE)

Data for a relaxed structure of PmGeRu.

Properties
Raw total energy in eV per atom: -6.721
Space-group type: No. 187
Spin magnetization in μB/atom: 0.000
Relative energy among the computed polymorphs in meV/atom: 173.5
Formation energy from the elements in eV/atom: -0.507

Cell lengths 4.015, 4.282, 4.282 Å; angles 120.00, 90.00, 90.00 degrees
Fractional coordinates of all 3 atoms:
Pm 0.667 0.333 0.667
Ge 0.167 0.667 0.333
Ru 0.167 0.000 0.000

=====

## Ni3BW (PBE)

Data for a relaxed structure of Ni3BW.

Properties
Raw total energy in eV per atom: -5.128
Space-group type: No. 221
Spin magnetization in μB/atom: 0.000
Relative energy among the computed polymorphs in meV/atom: 1983.5
Formation energy from the elements in eV/atom: 2.267

Cell lengths 4.516, 4.516, 4.516 Å; angles 90.00, 90.00, 90.00 degrees
Fractional coordinates of all 5 atoms:
Ni 0.000 0.000 0.500
Ni 0.000 0.500 0.000
Ni 0.500 0.000 0.000
W 0.000 0.000 0.000
B 0.500 0.500 0.500

=====

## Er4Cu3Au (PBE)

Data for a relaxed structure of Er4Cu3Au.

Properties
Raw total energy in eV per atom: -4.652
Space-group type: No. 123
Spin magnetization in μB/atom: 0.000
Formation energy from the elements in eV/atom: -0.425

Cell lengths 3.480, 3.480, 13.812 Å; angles 90.00, 90.00, 90.00 degrees
Fractional coordinates of all 8 atoms:
Er 0.000 0.000 0.377
Er 0.000 0.000 0.623
Er 0.000 0.000 0.868
Er 0.000 0.000 0.132
Cu 0.500 0.500 0.744
Cu 0.500 0.500 0.256
Cu 0.500 0.500 0.500
Au 0.500 0.500 0.000

=====

## KCd2Ni (PBE)

Data for a relaxed structure of KCd2Ni.

Properties
Raw total energy in eV per atom: -1.986
Space-group type: No. 12
Spin magnetization in μB/atom: 0.000
Relative energy among the computed polymorphs in meV/atom: 89.7
Formation energy from the elements in eV/atom: 0.192

Cell lengths 6.508, 6.508, 5.588 Å; angles 64.42, 64.42, 26.73 degrees
Fractional coordinates of all 4 atoms:
Ni 0.250 0.250 0.250
K 0.750 0.750 0.750
Cd 0.942 0.942 0.057
Cd 0.558 0.558 0.443

=====

## MgZnFeTc2 (PBE)

Data for a relaxed structure of MgZnFeTc2.

Properties
Raw total energy in eV per atom: -4.547
Space-group type: No. 123
Spin magnetization in μB/atom: 0.504
Formation energy from the elements in eV/atom: 1.865

Cell lengths 4.544, 4.331, 4.544 Å; angles 90.00, 90.00, 90.00 degrees
Last column: magnetic moment on the atom in μB.
Fractional coordinates of all 5 atoms:
Fe 0.000 0.500 0.000  2.73
Tc 0.500 0.000 0.000  -0.06
Tc 0.000 0.000 0.500  -0.08
Mg 0.000 0.000 0.000  -0.01
Zn 0.500 0.500 0.500  -0.01